Record 1
A plane-wave DFT calculation with PBE-GGA was carried out for a relaxed Rb3Ca2PaTe6 crystal.

a = 7.9913 Å, b = 13.8334 Å, c = 8.9155 Å
α = 90.00°, β = 107.37°, γ = 90.00°
Last column: nearest neighbours and their distance in Å.
Space group C2/m (No. 12)
Unique sites:
Rb 0.0000 0.0000 0.0000 x2  6 Te 3.65-3.79
Rb 0.0000 0.3281 0.0000 x4  6 Te 3.65-3.75
Ca 0.0000 0.1659 0.5000 x4  6 Te 3.22-3.23
Pa 0.0000 0.5000 0.5000 x2  6 Te 3.04
Te 0.2244 0.3420 0.6994 x8  1 Pa 3.04, 2 Ca 3.22-3.23
Te 0.2476 0.5000 0.2988 x4  1 Pa 3.04, 2 Ca 3.22

Properties
E in eV per atom: -4.20

Record 2
A plane-wave DFT calculation with PBE-GGA was carried out for a relaxed TbYGe2 crystal.

a = 4.1710 Å, b = 4.1710 Å, c = 20.2816 Å
α = 90.00°, β = 90.00°, γ = 120.00°
Last column: nearest neighbours and their distance in Å.
Space group R-3m (No. 166, hexagonal axes)
Unique sites:
Tb 0.0000 0.0000 0.0000 x3  6 Ge 2.94
Y 0.0000 0.0000 0.5000 x3  6 Ge 2.95
Ge 0.0000 0.0000 0.2504 x6  3 Tb 2.94, 3 Y 2.95

Properties
Formation energy from the elements in eV per atom: -0.67

| no. | size of the total moment (μB/cell) |
| --- | --- |
| 1 | 0.0 |
| 2 | 0.0 |